Entry 1:
## LiCo2P2O8 (PBEsol)

Data for an optimized crystal structure of LiCo2P2O8.

a b c (Å): 5.0275 10.1737 13.2060
angles (deg): 90.00 90.00 90.00
Closest atoms and distances in Å follow each position.
Sites, in units of the cell vectors:
O  0.8611  0.5006  0.1166  1 P 1.56
O  0.5591  0.5422  0.7136  1 P 1.56
P  0.0698  0.2766  0.8762  4 O 1.54-1.57
O  0.5129  0.6816  0.1387  1 P 1.54
O  0.5747  0.5066  0.5212  1 P 1.54
O  0.1389  0.4994  0.6166  1 P 1.56
P  0.5587  0.9660  0.6211  4 O 1.54-1.56
O  0.9306  0.2089  0.7839  1 P 1.57
O  0.9306  0.2911  0.2839  1 P 1.57
O  0.6284  0.7403  0.3621  1 P 1.54
O  0.8611  0.9994  0.6166  1 P 1.56
Co  0.4350  0.7141  0.7482  4 O 1.84-1.91
O  0.9957  0.4253  0.8776  1 P 1.56
O  0.4871  0.1816  0.1387  1 P 1.54
O  0.9812  0.2882  0.4757  1 P 1.54
P  0.9302  0.7234  0.3762  4 O 1.54-1.57
Co  0.5650  0.2141  0.7482  4 O 1.84-1.91
Co  0.4350  0.7859  0.2482  4 O 1.84-1.91
O  0.0694  0.7911  0.2839  1 P 1.57
P  0.4413  0.4660  0.6211  4 O 1.54-1.56
O  0.9957  0.0747  0.3776  1 P 1.56
Co  0.0653  0.5313  0.9957  4 O 1.87-1.93
Co  0.5650  0.2859  0.2482  4 O 1.84-1.91
Co  0.0653  0.9687  0.4957  4 O 1.87-1.93
O  0.4253  0.0066  0.5212  1 P 1.54
O  0.0043  0.9253  0.8776  1 P 1.56
P  0.5587  0.5340  0.1211  4 O 1.54-1.56
O  0.5591  0.9578  0.2136  1 P 1.56
P  0.4413  0.0340  0.1211  4 O 1.54-1.56
O  0.0188  0.7882  0.4757  1 P 1.54
O  0.4871  0.3184  0.6387  1 P 1.54
O  0.5129  0.8184  0.6387  1 P 1.54
P  0.9302  0.7766  0.8762  4 O 1.54-1.57
Li  0.0607  0.0302  0.7475  4 O 1.97-2.04
Li  0.0607  0.4698  0.2475  4 O 1.97-2.04
Co  0.9347  0.4687  0.4957  4 O 1.87-1.93
O  0.6284  0.7597  0.8621  1 P 1.54
O  0.9812  0.2118  0.9757  1 P 1.54
Li  0.9393  0.9698  0.2475  4 O 1.97-2.04
Li  0.9393  0.5302  0.7475  4 O 1.97-2.04
O  0.0188  0.7118  0.9757  1 P 1.54
O  0.5747  0.9934  0.0212  1 P 1.54
Co  0.9347  0.0313  0.9957  4 O 1.87-1.93
O  0.4409  0.0422  0.7136  1 P 1.56
O  0.0043  0.5747  0.3776  1 P 1.56
O  0.1389  0.0006  0.1166  1 P 1.56
O  0.0694  0.7089  0.7839  1 P 1.57
O  0.3716  0.2403  0.3621  1 P 1.54
O  0.4409  0.4578  0.2136  1 P 1.56
O  0.3716  0.2597  0.8621  1 P 1.54
O  0.4253  0.4934  0.0212  1 P 1.54
P  0.0698  0.2234  0.3762  4 O 1.54-1.57

Results
* total energy: -7.1816 eV per atom
* space group: Pca2_1
* ΔE_f (raw): -1.7187 eV per atom

Entry 2:
## Li2CoP2O7 (PBEsol)

Data for an optimized crystal structure of Li2CoP2O7.

a b c (Å): 4.9321 7.0820 8.2019
angles (deg): 90.00 90.00 109.47
Closest atoms and distances in Å follow each position.
Sites, in units of the cell vectors:
Co  0.7004  0.7193  0.9955  6 O 2.02-2.17
O  0.2729  0.4960  0.3418  1 P 1.52
O  0.8910  0.2546  0.1656  2 P 1.61-1.62
O  0.9249  0.6202  0.1876  1 P 1.53
Li  0.3321  0.3504  0.8528  4 O 1.89-2.06
Li  0.6679  0.6496  0.3528  4 O 1.89-2.06
P  0.7103  0.0860  0.2936  4 O 1.53-1.62
O  0.1174  0.8970  0.9506  1 P 1.53
O  0.4165  0.1107  0.3186  1 P 1.53
O  0.0751  0.3798  0.6876  1 P 1.53
P  0.2897  0.9140  0.7936  4 O 1.53-1.62
O  0.6838  0.8896  0.2063  1 P 1.53
O  0.5835  0.8893  0.8186  1 P 1.53
Li  0.1391  0.9141  0.1820  3 O 1.90-2.00
O  0.3162  0.1104  0.7063  1 P 1.53
O  0.7271  0.5040  0.8418  1 P 1.52
P  0.1069  0.4821  0.1835  4 O 1.52-1.61
Co  0.2996  0.2807  0.4955  6 O 2.02-2.17
O  0.8826  0.1030  0.4506  1 P 1.53
O  0.1090  0.7454  0.6656  2 P 1.61-1.62
O  0.7005  0.4856  0.5332  1 P 1.53
Li  0.8609  0.0859  0.6820  3 O 1.90-2.00
P  0.8931  0.5179  0.6835  4 O 1.52-1.61
O  0.2995  0.5144  0.0332  1 P 1.53

Results
* total energy: -7.0274 eV per atom
* space group: P2_1
* ΔE_f (raw): -2.0276 eV per atom

Entry 3:
## Li2CoP2O7 (PBEsol)

Data for an optimized crystal structure of Li2CoP2O7.

a b c (Å): 4.7278 5.0043 12.3059
angles (deg): 98.38 90.00 118.19
Closest atoms and distances in Å follow each position.
Sites, in units of the cell vectors:
O  0.3398  0.6564  0.6534  1 P 1.54
O  0.6946  0.3669  0.3583  1 P 1.54
O  0.8896  0.8046  0.5756  1 P 1.51
P  0.6814  0.9102  0.6418  4 O 1.51-1.65
Li  0.3145  0.2399  0.6109  3 O 1.90-2.02
Co  0.0143  0.5104  0.4992  4 O 1.94-2.17
O  0.9150  0.8046  0.0756  1 P 1.51
Co  0.4961  0.5104  0.9992  4 O 1.94-2.17
O  0.1938  0.2341  0.4603  1 P 1.52
O  0.4582  0.8211  0.9017  1 P 1.52
O  0.0403  0.2341  0.9603  1 P 1.52
Li  0.5973  0.6715  0.2909  3 O 2.03-2.12
O  0.3629  0.8211  0.4017  1 P 1.52
P  0.3623  0.1117  0.3786  4 O 1.52-1.64
Li  0.0742  0.6715  0.7909  3 O 2.03-2.12
P  0.2288  0.9102  0.1418  4 O 1.51-1.65
O  0.3167  0.6564  0.1534  1 P 1.54
P  0.7494  0.1117  0.8786  4 O 1.52-1.64
O  0.8790  0.0127  0.7641  2 P 1.64-1.65
O  0.1336  0.0127  0.2641  2 P 1.64-1.65
O  0.6722  0.3669  0.8583  1 P 1.54
Li  0.9254  0.2399  0.1109  3 O 1.90-2.02
O  0.5066  0.2012  0.1123  1 P 1.52
O  0.6946  0.2012  0.6123  1 P 1.52

Results
* total energy: -6.9781 eV per atom
* space group: Cc
* ΔE_f (raw): -1.9782 eV per atom

Entry 4:
## Li2CoP4O12 (PBEsol)

Data for an optimized crystal structure of Li2CoP4O12.

a b c (Å): 7.5591 8.4301 8.4301
angles (deg): 114.01 97.32 97.32
Closest atoms and distances in Å follow each position.
Sites, in units of the cell vectors:
O  0.6879  0.9225  0.3786  1 P 1.51
O  0.7500  0.6301  0.3699  2 P 1.60
O  0.6669  0.1046  0.1750  1 P 1.51
O  0.4926  0.7278  0.9824  1 P 1.50
P  0.3789  0.2279  0.5766  4 O 1.49-1.60
O  0.8428  0.3691  0.1670  2 P 1.58-1.60
P  0.8274  0.9351  0.7924  4 O 1.50-1.60
Li  0.7482  0.1846  0.4823  3 O 1.93-2.09
Co  0.7500  0.8712  0.1288  6 O 2.04-2.10
O  0.0074  0.0176  0.2722  1 P 1.50
O  0.5740  0.3180  0.6391  1 P 1.49
O  0.1879  0.3786  0.9225  1 P 1.51
O  0.8331  0.8250  0.8954  1 P 1.51
O  0.1572  0.6309  0.8330  2 P 1.58-1.60
P  0.1211  0.4234  0.7721  4 O 1.49-1.60
O  0.0740  0.6391  0.3180  1 P 1.49
O  0.6572  0.8330  0.6309  2 P 1.58-1.60
O  0.3428  0.1670  0.3691  2 P 1.58-1.60
O  0.9926  0.9824  0.7278  1 P 1.50
Li  0.2482  0.4823  0.1846  3 O 1.93-2.09
O  0.7500  0.1090  0.8910  2 P 1.59
P  0.1726  0.0649  0.2076  4 O 1.50-1.60
Li  0.7518  0.5177  0.8154  3 O 1.93-2.09
O  0.8121  0.6214  0.0775  1 P 1.51
O  0.2500  0.3699  0.6301  2 P 1.60
O  0.4260  0.6820  0.3609  1 P 1.49
O  0.1669  0.1750  0.1046  1 P 1.51
O  0.5074  0.2722  0.0176  1 P 1.50
P  0.6211  0.7721  0.4234  4 O 1.49-1.60
P  0.6726  0.2076  0.0649  4 O 1.50-1.60
O  0.9260  0.3609  0.6820  1 P 1.49
O  0.3121  0.0775  0.6214  1 P 1.51
P  0.8789  0.5766  0.2279  4 O 1.49-1.60
O  0.2500  0.8910  0.1090  2 P 1.59
P  0.3274  0.7924  0.9351  4 O 1.50-1.60
Li  0.2518  0.8154  0.5177  3 O 1.93-2.09
O  0.3331  0.8954  0.8250  1 P 1.51
Co  0.2500  0.1288  0.8712  6 O 2.04-2.10

Results
* total energy: -7.2026 eV per atom
* space group: C2/c
* ΔE_f (raw): -2.0537 eV per atom

Entry 5:
## LiCo2P2O8 (PBEsol)

Data for an optimized crystal structure of LiCo2P2O8.

a b c (Å): 5.0497 5.0497 6.6525
angles (deg): 90.29 90.29 97.20
Closest atoms and distances in Å follow each position.
Sites, in units of the cell vectors:
O  0.3009  0.5598  0.7393  1 P 1.56
Li  0.5023  0.4977  0.0000  4 O 2.04-2.05
O  0.8656  0.5797  0.5512  1 P 1.54
O  0.4402  0.6991  0.2607  1 P 1.56
O  0.8886  0.6365  0.9333  1 P 1.57
O  0.8101  0.0913  0.2223  1 P 1.54
O  0.9087  0.1899  0.7777  1 P 1.54
O  0.3635  0.1114  0.0667  1 P 1.57
Co  0.4981  0.5019  0.5000  4 O 1.88-1.92
P  0.9915  0.4909  0.7462  4 O 1.54-1.57
O  0.4203  0.1344  0.4488  1 P 1.54
P  0.5091  0.0085  0.2538  4 O 1.54-1.57
Co  0.0013  0.9987  0.0000  4 O 1.86-1.90

Results
* total energy: -7.1744 eV per atom
* space group: C2
* ΔE_f (raw): -1.7114 eV per atom

Entry 6:
## LiCoP2O7 (PBEsol)

Data for an optimized crystal structure of LiCoP2O7.

a b c (Å): 4.6750 6.8223 7.7154
angles (deg): 90.00 90.00 107.98
Closest atoms and distances in Å follow each position.
Sites, in units of the cell vectors:
Co  0.2180  0.7280  0.4972  6 O 1.87-1.92
O  0.7413  0.4915  0.1373  1 P 1.53
O  0.8809  0.1148  0.8124  1 P 1.53
O  0.3927  0.6200  0.3121  1 P 1.53
O  0.4106  0.2527  0.3591  2 P 1.60-1.62
Co  0.7820  0.2720  0.9972  6 O 1.87-1.92
O  0.1694  0.4675  0.9644  1 P 1.52
P  0.2118  0.0925  0.2180  4 O 1.52-1.62
O  0.5997  0.9127  0.5563  1 P 1.53
P  0.3984  0.5132  0.8177  4 O 1.52-1.60
O  0.1191  0.8852  0.3124  1 P 1.53
O  0.6073  0.3800  0.8121  1 P 1.53
O  0.9304  0.1538  0.1819  1 P 1.52
Li  0.8291  0.3129  0.6235  4 O 1.92-2.05
O  0.0696  0.8462  0.6819  1 P 1.52
Li  0.1709  0.6871  0.1235  4 O 1.92-2.05
O  0.4003  0.0873  0.0563  1 P 1.53
O  0.2587  0.5085  0.6373  1 P 1.53
O  0.5894  0.7473  0.8591  2 P 1.60-1.62
O  0.8306  0.5325  0.4644  1 P 1.52
P  0.6016  0.4868  0.3177  4 O 1.52-1.60
P  0.7882  0.9075  0.7180  4 O 1.52-1.62

Results
* total energy: -7.2049 eV per atom
* space group: P2_1
* ΔE_f (raw): -1.9293 eV per atom

Entry 7:
## Li4CoP2O8 (PBEsol)

Data for an optimized crystal structure of Li4CoP2O8.

a b c (Å): 8.0687 8.0997 10.2588
angles (deg): 90.00 90.00 105.04
Closest atoms and distances in Å follow each position.
Sites, in units of the cell vectors:
P  0.9637  0.2304  0.4071  4 O 1.54-1.56
P  0.5363  0.7696  0.9071  4 O 1.54-1.56
P  0.4728  0.7084  0.4083  4 O 1.54-1.56
O  0.9364  0.8618  0.1670  1 P 1.55
Li  0.2727  0.5228  0.0751  4 O 1.96-2.04
O  0.0108  0.7544  0.9454  1 P 1.56
Li  0.9000  0.3983  0.6631  4 O 1.94-2.01
Li  0.8406  0.3423  0.1636  4 O 1.91-1.95
O  0.9892  0.2456  0.0546  1 P 1.56
P  0.9728  0.7084  0.0917  4 O 1.54-1.56
P  0.0272  0.2916  0.9083  4 O 1.54-1.56
O  0.5108  0.7544  0.5546  1 P 1.56
Li  0.6516  0.1489  0.8471  4 O 1.93-2.02
Co  0.4146  0.9079  0.6550  4 O 1.93-1.95
P  0.0363  0.7696  0.5929  4 O 1.54-1.56
Li  0.6594  0.6577  0.6636  4 O 1.91-1.95
O  0.1147  0.1913  0.3292  1 P 1.56
Li  0.6000  0.6017  0.1631  4 O 1.94-2.01
O  0.9786  0.7274  0.4510  1 P 1.54
O  0.4892  0.2456  0.4454  1 P 1.56
O  0.5214  0.2726  0.9510  1 P 1.54
O  0.5886  0.6161  0.8449  1 P 1.55
Li  0.3484  0.8511  0.1529  4 O 1.93-2.02
P  0.4637  0.2304  0.0929  4 O 1.54-1.56
O  0.3706  0.3396  0.6521  1 P 1.54
O  0.9114  0.3839  0.3449  1 P 1.55
O  0.8103  0.5572  0.0995  1 P 1.55
O  0.8706  0.3396  0.8479  1 P 1.54
Li  0.7273  0.4772  0.9249  4 O 1.96-2.04
O  0.3097  0.0684  0.1037  1 P 1.56
Li  0.7727  0.5228  0.4249  4 O 1.96-2.04
O  0.8853  0.8087  0.6708  1 P 1.56
O  0.4114  0.3839  0.1551  1 P 1.55
Li  0.1000  0.6017  0.3369  4 O 1.94-2.01
Co  0.0854  0.0921  0.1550  4 O 1.93-1.95
O  0.1897  0.4428  0.9005  1 P 1.55
O  0.4364  0.8618  0.3330  1 P 1.55
O  0.1903  0.9316  0.6037  1 P 1.56
Li  0.8484  0.8511  0.3471  4 O 1.93-2.02
Li  0.2273  0.4772  0.5751  4 O 1.96-2.04
Li  0.1594  0.6577  0.8364  4 O 1.91-1.95
O  0.0214  0.2726  0.5490  1 P 1.54
P  0.5272  0.2916  0.5917  4 O 1.54-1.56
O  0.6903  0.9316  0.8963  1 P 1.56
Li  0.4000  0.3983  0.8369  4 O 1.94-2.01
O  0.4786  0.7274  0.0490  1 P 1.54
O  0.0636  0.1382  0.8330  1 P 1.55
O  0.1294  0.6604  0.1521  1 P 1.54
O  0.0886  0.6161  0.6551  1 P 1.55
Co  0.9146  0.9079  0.8450  4 O 1.93-1.95
O  0.6147  0.1913  0.1708  1 P 1.56
O  0.5636  0.1382  0.6670  1 P 1.55
O  0.8097  0.0684  0.3963  1 P 1.56
Li  0.3406  0.3423  0.3364  4 O 1.91-1.95
O  0.6897  0.4428  0.5995  1 P 1.55
O  0.3853  0.8087  0.8292  1 P 1.56
O  0.3103  0.5572  0.4005  1 P 1.55
Li  0.1516  0.1489  0.6529  4 O 1.93-2.02
O  0.6294  0.6604  0.3479  1 P 1.54
Co  0.5854  0.0921  0.3450  4 O 1.93-1.95

Results
* total energy: -6.7713 eV per atom
* space group: P2_1/c
* ΔE_f (raw): -2.1592 eV per atom

Entry 8:
## Li2CoP2O7 (PBEsol)

Data for an optimized crystal structure of Li2CoP2O7.

a b c (Å): 7.2044 5.9905 8.0086
angles (deg): 111.96 116.73 90.00
Closest atoms and distances in Å follow each position.
Sites, in units of the cell vectors:
Li  0.7764  0.2764  0.0528  4 O 1.90-1.99
P  0.8099  0.3572  0.7143  4 O 1.50-1.61
O  0.3702  0.0571  0.1142  1 P 1.50
O  0.7187  0.9306  0.2867  1 P 1.55
O  0.9320  0.1438  0.7133  1 P 1.55
P  0.1901  0.6428  0.2857  4 O 1.50-1.61
Co  0.0000  0.0000  0.5000  4 O 1.88
Li  0.7764  0.7764  0.0528  4 O 1.90-1.99
O  0.0680  0.4306  0.2867  1 P 1.55
Li  0.2236  0.2236  0.9472  4 O 1.90-1.99
O  0.7560  0.4429  0.8858  1 P 1.50
P  0.4044  0.8572  0.7143  4 O 1.50-1.61
O  0.2440  0.5571  0.1142  1 P 1.50
O  0.9320  0.5694  0.7133  1 P 1.55
O  0.6298  0.9429  0.8858  1 P 1.50
O  0.4097  0.7500  0.5000  2 P 1.61
O  0.2813  0.0694  0.7133  1 P 1.55
Li  0.2236  0.7236  0.9472  4 O 1.90-1.99
O  0.2813  0.6438  0.7133  1 P 1.55
P  0.5956  0.1428  0.2857  4 O 1.50-1.61
O  0.5903  0.2500  0.5000  2 P 1.61
O  0.7187  0.3562  0.2867  1 P 1.55
O  0.0680  0.8562  0.2867  1 P 1.55
Co  0.0000  0.5000  0.5000  4 O 1.88

Results
* total energy: -7.0227 eV per atom
* space group: Imma
* ΔE_f (raw): -2.0228 eV per atom

Entry 9:
## Li2CoP4O12 (PBEsol)

Data for an optimized crystal structure of Li2CoP4O12.

a b c (Å): 5.1746 7.3226 7.0843
angles (deg): 69.64 85.32 65.21
Closest atoms and distances in Å follow each position.
Sites, in units of the cell vectors:
O  0.2575  0.4397  0.6086  1 P 1.48
O  0.2415  0.7274  0.2040  1 P 1.52
P  0.4421  0.4206  0.7703  4 O 1.48-1.61
P  0.5423  0.7925  0.7924  4 O 1.47-1.61
P  0.5579  0.5794  0.2297  4 O 1.48-1.61
O  0.6919  0.6474  0.0172  2 P 1.61
O  0.3081  0.3526  0.9828  2 P 1.61
P  0.4577  0.2075  0.2076  4 O 1.47-1.61
O  0.2362  0.1785  0.3439  1 P 1.47
Co  0.0000  0.0000  0.0000  4 O 1.95-1.96
Li  0.9359  0.7230  0.4345  5 O 1.95-2.18
O  0.7585  0.2726  0.7960  1 P 1.52
O  0.3994  0.6571  0.7420  2 P 1.59-1.60
O  0.7425  0.5603  0.3914  1 P 1.48
Li  0.0641  0.2770  0.5655  5 O 1.95-2.18
O  0.7101  0.0083  0.1937  1 P 1.52
O  0.6006  0.3429  0.2580  2 P 1.59-1.60
O  0.7638  0.8215  0.6561  1 P 1.47
O  0.2899  0.9917  0.8063  1 P 1.52

Results
* total energy: -7.1905 eV per atom
* space group: P-1
* ΔE_f (raw): -2.0417 eV per atom

Entry 10:
## Li2CoP2O7 (PBEsol)

Data for an optimized crystal structure of Li2CoP2O7.

a b c (Å): 4.9326 7.5440 7.5440
angles (deg): 90.00 90.00 90.00
Closest atoms and distances in Å follow each position.
Sites, in units of the cell vectors:
Li  0.5410  0.7120  0.2120  1 O 1.91
Li  0.4590  0.2120  0.2880  1 O 1.91
O  0.7528  0.8147  0.9183  1 P 1.55
O  0.2472  0.6853  0.4183  1 P 1.55
O  0.2472  0.9183  0.1853  1 P 1.55
O  0.7528  0.1853  0.0817  1 P 1.55
Li  0.5410  0.2880  0.7880  1 O 1.91
P  0.8982  0.3557  0.1443  4 O 1.50-1.61
O  0.7528  0.5817  0.6853  1 P 1.55
O  0.7998  0.5000  0.0000  2 P 1.61
Co  0.0000  0.0000  0.0000  4 O 1.95
O  0.2009  0.3448  0.1552  1 P 1.50
Co  0.0000  0.5000  0.5000  4 O 1.95
O  0.2009  0.6552  0.8448  1 P 1.50
P  0.8982  0.6443  0.8557  4 O 1.50-1.61
P  0.1018  0.1443  0.6443  4 O 1.50-1.61
Li  0.4590  0.7880  0.7120  1 O 1.91
O  0.2472  0.3147  0.5817  1 P 1.55
O  0.7991  0.8448  0.3448  1 P 1.50
O  0.7991  0.1552  0.6552  1 P 1.50
O  0.7528  0.4183  0.3147  1 P 1.55
O  0.2002  0.0000  0.5000  2 P 1.61
O  0.2472  0.0817  0.8147  1 P 1.55
P  0.1018  0.8557  0.3557  4 O 1.50-1.61

Results
* total energy: -6.9687 eV per atom
* space group: P-42_1m
* ΔE_f (raw): -1.9689 eV per atom